No. 1
First-principles (PBE with a Hubbard U) data for a geometry-optimized CrPbBrO4 structure, as listed in the Alexandria database.

a = 7.0320 Å, b = 7.0320 Å, c = 7.0762 Å
α = 79.06°, β = 79.06°, γ = 55.75°
Fractional coordinates of all 14 atoms:
O1 0.4644 0.8725 0.8757
O2 0.4934 0.4934 0.2567
O3 0.2860 0.2860 0.4725
O4 0.1275 0.5356 0.1243
O5 0.8725 0.4644 0.8757
O6 0.5356 0.1275 0.1243
O7 0.5066 0.5066 0.7433
O8 0.7140 0.7140 0.5275
Br1 0.9762 0.9762 0.6665
Br2 0.0238 0.0238 0.3335
Cr1 0.6380 0.6380 0.7505
Cr2 0.3620 0.3620 0.2495
Pb1 0.7007 0.7007 0.1878
Pb2 0.2993 0.2993 0.8122

## Properties
Raw total energy   -0.4199 Ry per atom
Space group   C2/m, No. 12
Calculated volume   20.18 Å³ per atom

=====

No. 2
First-principles (PBE with a Hubbard U) data for a geometry-optimized Rb2CrBr6O structure, as listed in the Alexandria database.

a = 7.4064 Å, b = 7.4064 Å, c = 7.6692 Å
α = 61.13°, β = 61.13°, γ = 90.00°
Last column: magnetic moment on the atom in μB.
Fractional coordinates of all 10 atoms:
Br1 0.2428 0.7572 0.0000  0.19
Br2 0.7744 0.7744 0.4513  0.09
Br3 0.7572 0.2428 0.0000  0.19
Br4 0.2256 0.2256 0.5487  0.09
Br5 0.2428 0.2428 0.0000  0.19
Br6 0.7572 0.7572 0.0000  0.19
Rb1 0.7500 0.2500 0.5000  0.00
Rb2 0.2500 0.7500 0.5000  0.00
Cr1 0.0000 0.0000 0.0000  -0.93
O1 0.5000 0.5000 0.0000  1.48

## Properties
Raw total energy   -0.2248 Ry per atom
Space group   I4/mmm, No. 139
Calculated volume   30.73 Å³ per atom

=====

No. 3
First-principles (PBE with a Hubbard U) data for a geometry-optimized CrSeBr2O structure, as listed in the Alexandria database.

a = 5.0884 Å, b = 5.0884 Å, c = 4.5906 Å
α = 90.00°, β = 90.00°, γ = 90.00°
Last column: magnetic moment on the atom in μB.
Fractional coordinates of all 5 atoms:
Se1 0.0000 0.0000 0.5000  -0.02
O1 0.5000 0.5000 0.5000  -0.20
Br1 0.0000 0.5000 0.0000  -0.01
Br2 0.5000 0.0000 0.0000  -0.01
Cr1 0.0000 0.0000 0.0000  -0.72

## Properties
Space group   P4/mmm, No. 123
Calculated volume   23.77 Å³ per atom
Distance to the lowest polymorph of the same formula   557 meV per atom

=====

No. 4
First-principles (PBE with a Hubbard U) data for a geometry-optimized CrSeBrO2 structure, as listed in the Alexandria database.

a = 3.8521 Å, b = 5.9498 Å, c = 3.8521 Å
α = 90.00°, β = 90.00°, γ = 90.00°
Last column: magnetic moment on the atom in μB.
Fractional coordinates of all 5 atoms:
O1 0.0000 0.0000 0.5000  0.00
O2 0.5000 0.0000 0.0000  0.01
Cr1 0.5000 0.5000 0.5000  3.99
Se1 0.0000 0.5000 0.0000  -0.16
Br1 0.0000 0.0000 0.0000  -0.01

## Properties
Raw total energy   -0.3051 Ry per atom
Space group   P4/mmm, No. 123
Calculated volume   17.66 Å³ per atom

=====

No. 5
First-principles (PBE with a Hubbard U) data for a geometry-optimized CrSeBr2O structure, as listed in the Alexandria database.

a = 4.8687 Å, b = 4.8687 Å, c = 4.3735 Å
α = 90.00°, β = 90.00°, γ = 90.00°
Last column: magnetic moment on the atom in μB.
Fractional coordinates of all 5 atoms:
O1 0.0000 0.0000 0.0000  -0.01
Br1 0.5000 0.0000 0.0000  -0.05
Br2 0.0000 0.5000 0.0000  -0.05
Cr1 0.5000 0.5000 0.5000  4.30
Se1 0.0000 0.0000 0.5000  -0.28

## Properties
Space group   P4/mmm, No. 123
Calculated volume   20.73 Å³ per atom
Distance to the lowest polymorph of the same formula   0 meV per atom

=====

No. 6
First-principles (PBE with a Hubbard U) data for a geometry-optimized CrSiBr2O structure, as listed in the Alexandria database.

a = 5.9599 Å, b = 3.3865 Å, c = 5.9599 Å
α = 90.00°, β = 90.00°, γ = 90.00°
Last column: magnetic moment on the atom in μB.
Fractional coordinates of all 5 atoms:
Br1 0.5000 0.0000 0.0000  -0.02
Br2 0.0000 0.0000 0.5000  -0.07
Cr1 0.5000 0.5000 0.5000  4.51
Si1 0.0000 0.5000 0.0000  0.01
O1 0.0000 0.0000 0.0000  0.01

## Properties
Space group   P4/mmm, No. 123
Calculated volume   24.06 Å³ per atom
Distance to the lowest polymorph of the same formula   0 meV per atom